Density functional theory data (GGA-PBE) for a relaxed NdTh2P3 crystal.

a = 4.1449 Å, b = 5.8602 Å, c = 7.1967 Å
α = 114.03°, β = 106.74°, γ = 90.00°
Positions (direct):
Th: 0.1656 0.1656 0.8312
Th: 0.8344 0.8344 0.1688
Nd: 0.5000 0.5000 0.5000
P: 0.1691 0.6691 0.8383
P: 0.8309 0.3309 0.1617
P: 0.5000 0.0000 0.5000

- Total energy: -7.537 eV/atom
- Size of the total moment: 0.000 μB per formula unit
- DFT formation energy: -9.38 eV per formula unit
- D(E_F): 0.397 states/eV/atom
- V: 151.5 Å³/f.u.